# BaTe2Mo2H2O12 (PBE with a Hubbard U, relaxed)
data_BaTe2Mo2H2O12
_space_group_name_H-M_alt 'P 1'
_space_group_IT_number 1
_cell_length_a 7.518
_cell_length_b 7.632
_cell_length_c 18.985
_cell_angle_alpha 90.00
_cell_angle_beta 90.00
_cell_angle_gamma 90.00
loop_
_space_group_symop_operation_xyz
'x,y,z'
loop_
_atom_site_label
_atom_site_fract_x
_atom_site_fract_y
_atom_site_fract_z
Ba1 0.240 0.176 0.449
Ba2 0.260 0.824 0.949
Ba3 0.740 0.324 0.551
Ba4 0.760 0.676 0.051
Te1 0.007 0.872 0.604
Te2 0.163 0.417 0.260
Te3 0.337 0.583 0.760
Te4 0.493 0.128 0.104
Te5 0.507 0.628 0.396
Te6 0.663 0.083 0.740
Te7 0.837 0.917 0.240
Te8 0.993 0.372 0.896
Mo1 0.022 0.656 0.404
Mo2 0.230 0.056 0.759
Mo3 0.270 0.944 0.259
Mo4 0.478 0.344 0.904
Mo5 0.522 0.844 0.596
Mo6 0.730 0.444 0.241
Mo7 0.770 0.556 0.741
Mo8 0.978 0.156 0.096
H1 0.187 0.497 0.080
H2 0.221 0.682 0.114
H3 0.279 0.318 0.614
H4 0.313 0.503 0.580
H5 0.687 0.003 0.920
H6 0.721 0.818 0.886
H7 0.779 0.182 0.386
H8 0.813 0.997 0.420
O1 0.004 0.482 0.466
O2 0.042 0.006 0.188
O3 0.048 0.856 0.305
O4 0.051 0.094 0.568
O5 0.095 0.070 0.835
O6 0.095 0.896 0.700
O7 0.148 0.817 0.449
O8 0.161 0.623 0.074
O9 0.173 0.200 0.306
O10 0.186 0.246 0.711
O11 0.203 0.246 0.096
O12 0.240 0.450 0.859
O13 0.260 0.550 0.359
O14 0.297 0.754 0.596
O15 0.314 0.754 0.211
O16 0.327 0.800 0.806
O17 0.339 0.377 0.574
O18 0.352 0.183 0.949
O19 0.405 0.104 0.200
O20 0.405 0.930 0.335
O21 0.449 0.906 0.068
O22 0.452 0.144 0.805
O23 0.458 0.994 0.688
O24 0.496 0.518 0.966
O25 0.504 0.018 0.534
O26 0.542 0.494 0.812
O27 0.548 0.644 0.695
O28 0.551 0.406 0.432
O29 0.595 0.430 0.165
O30 0.595 0.604 0.300
O31 0.648 0.683 0.551
O32 0.661 0.877 0.926
O33 0.673 0.300 0.694
O34 0.686 0.254 0.289
O35 0.703 0.254 0.904
O36 0.740 0.050 0.141
O37 0.760 0.950 0.641
O38 0.797 0.746 0.404
O39 0.814 0.746 0.789
O40 0.827 0.700 0.194
O41 0.839 0.123 0.426
O42 0.852 0.317 0.051
O43 0.905 0.396 0.800
O44 0.905 0.570 0.665
O45 0.949 0.594 0.932
O46 0.952 0.356 0.195
O47 0.958 0.506 0.312
O48 0.996 0.982 0.034
# - N(E_F) (states/eV/atom) = 0.00
# - calculated total energy (eV/atom) = -6.189